The following is a DFT calculation (PBE) of a relaxed structure of Y2Ho2TmSc.

Cell: 6.4458 17.3056 3.3154 Å, 90.00 90.00 90.00°
Fractional positions:
Y: 0.2452 0.1818 0.0000
Y: 0.2548 0.6818 0.5000
Y: 0.7452 0.3182 0.5000
Y: 0.7548 0.8182 0.0000
Ho: 0.2433 0.3553 0.5000
Ho: 0.2567 0.8553 0.0000
Ho: 0.7433 0.1447 0.0000
Ho: 0.7567 0.6447 0.5000
Tm: 0.0000 0.5000 0.0000
Tm: 0.5000 0.0000 0.5000
Sc: 0.0000 0.0000 0.0000
Sc: 0.5000 0.5000 0.5000

Values from the calculation:
**N(E_F)**: 1.4780 states/eV/atom
**SG**: Pnnm, No. 58
**Formation energy from the elements**: 0.2740 eV per atom
**ρ**: 6.5 Mg/m³
**Calculated total energy**: -5.207 eV per atom